Version one
The following is a DFT calculation (PBE-GGA) of a geometry-optimized HfCuI3 structure.

Cell and atoms, written as extended XYZ:
```
5
Lattice="5.2643 0.0000 0.0000 0.0000 5.2643 0.0000 0.0000 0.0000 5.2643" Properties=species:S:1:pos:R:3 pbc="T T T"
Cu 0.0000 0.0000 0.0000
I 0.0000 2.6321 0.0000
I 0.0000 0.0000 2.6321
I 2.6321 0.0000 0.0000
Hf 2.6321 2.6321 2.6321
```

## Properties
N(E_F) in states/eV per atom: 1.32
Space-group type: Pm-3m
Volume in Å³/atom: 29.2

---

Version two
The following is a DFT calculation (PBE-GGA) of a geometry-optimized HfCuI3 structure.

Cell and atoms, written as extended XYZ:
```
5
Lattice="5.6648 0.0000 0.0000 0.0000 5.6648 0.0000 0.0000 0.0000 5.6648" Properties=species:S:1:pos:R:3 pbc="T T T"
I 0.0000 2.8324 0.0000
I 0.0000 0.0000 2.8324
I 2.8324 0.0000 0.0000
Hf 0.0000 0.0000 0.0000
Cu 2.8324 2.8324 2.8324
```

## Properties
N(E_F) in states/eV per atom: 0.68
Space-group type: Pm-3m
Volume in Å³/atom: 36.4

---

version two (36.3 kJ/mol of atoms below the next structure)

---

Version one
The following is a DFT calculation (PBE-GGA) of a geometry-optimized HfCuI2O structure.

Cell and atoms, written as extended XYZ:
```
5
Lattice="5.5218 0.0000 0.0000 0.0000 5.5218 0.0000 0.0000 0.0000 3.5723" Properties=species:S:1:pos:R:3 pbc="T T T"
Cu 0.0000 0.0000 0.0000
O 0.0000 0.0000 1.7862
I 2.7609 0.0000 0.0000
I 0.0000 2.7609 0.0000
Hf 2.7609 2.7609 1.7862
```

## Properties
N(E_F) in states/eV per atom: 0.99
Space-group type: P4/mmm
Volume in Å³/atom: 21.8

---

Version two
The following is a DFT calculation (PBE-GGA) of a geometry-optimized HfCuI2O structure.

Cell and atoms, written as extended XYZ:
```
5
Lattice="5.7695 0.0000 0.0000 0.0000 5.7695 0.0000 0.0000 0.0000 3.9511" Properties=species:S:1:pos:R:3 pbc="T T T"
I 0.0000 2.8847 0.0000
I 2.8847 0.0000 0.0000
Hf 0.0000 0.0000 0.0000
O 0.0000 0.0000 1.9755
Cu 2.8847 2.8847 1.9755
```

## Properties
N(E_F) in states/eV per atom: 0.54
Space-group type: P4/mmm
Volume in Å³/atom: 26.3

---

version two (82.4 kJ/mol of atoms below the next structure)

---

Version one
The following is a DFT calculation (PBE-GGA) of a geometry-optimized HfCuIO2 structure.

Cell and atoms, written as extended XYZ:
```
5
Lattice="-2.4173 3.1689 -0.3677 -0.4259 0.1366 3.9775 4.9004 3.7839 0.3948" Properties=species:S:1:pos:R:3 pbc="T T T"
O -0.2130 0.0683 1.9887
O -1.2086 1.5845 -0.1838
Cu 1.0286 3.5447 2.0023
Hf 0.0000 0.0000 0.0000
I 2.4502 1.8920 0.1974
```

## Properties
N(E_F) in states/eV per atom: 0.21
Space-group type: P4/mmm
Volume in Å³/atom: 19.9

---

Version two
The following is a DFT calculation (PBE-GGA) of a geometry-optimized HfCuIO2 structure.

Cell and atoms, written as extended XYZ:
```
5
Lattice="-1.6923 -2.2402 -2.9152 2.5072 -3.0504 0.8887 -3.2066 -1.7103 3.1758" Properties=species:S:1:pos:R:3 pbc="T T T"
O 1.2536 -1.5252 0.4444
O -0.8462 -1.1201 -1.4576
Hf -1.1959 -3.5005 0.5746
Cu 0.0000 0.0000 0.0000
I -1.6033 -0.8552 1.5879
```

## Properties
N(E_F) in states/eV per atom: 0.57
Space-group type: P4/mmm
Volume in Å³/atom: 15.8

---

version one (153.1 kJ/mol of atoms below the next structure)

---

Version one
The following is a DFT calculation (PBE-GGA) of a geometry-optimized Hf4InCu structure.

Cell and atoms, written as extended XYZ:
```
12
Lattice="-0.5870 -5.4248 -0.0185 5.8981 -0.6492 3.2179 -3.2014 0.3262 5.9337" Properties=species:S:1:pos:R:3 pbc="T T T"
In -0.1468 -1.3562 -0.0046
In -0.4403 -4.0686 -0.0139
Hf 1.1120 -0.1442 6.9809
Hf 1.5847 -0.1789 2.1707
Hf -0.8214 -2.6761 6.0770
Hf 3.7394 -0.4211 4.8126
Hf -1.0428 0.0980 4.3389
Hf 2.9311 -3.0718 3.0561
Hf 2.5558 -3.0428 6.4531
Hf -0.4462 -2.7051 2.6799
Cu 0.9081 -4.2302 4.5619
Cu 1.2016 -1.5177 4.5712
```

## Properties
N(E_F) in states/eV per atom: 1.35
Space-group type: P4/mcc
Volume in Å³/atom: 20.7

---

Version two
The following is a DFT calculation (PBE-GGA) of a geometry-optimized Hf4InCu structure.

Cell and atoms, written as extended XYZ:
```
6
Lattice="-3.0535 0.7208 -0.2108 -0.1675 -1.5142 -2.7508 -2.9212 -10.6147 6.0207" Properties=species:S:1:pos:R:3 pbc="T T T"
Hf -0.9088 -3.3020 1.8728
Hf -5.2334 -8.1061 1.1863
Hf -4.1203 -9.5167 3.6922
Hf -2.0219 -1.8914 -0.6331
In -3.0711 -5.7041 1.5296
Cu 0.0000 0.0000 0.0000
```

## Properties
N(E_F) in states/eV per atom: 0.72
Space-group type: P4/mmm
Volume in Å³/atom: 20.7

---

version two (12.1 kJ/mol of atoms below the next structure)

---

Version one
The following is a DFT calculation (PBE-GGA) of a geometry-optimized HfIn3Cu structure.

Cell and atoms, written as extended XYZ:
```
5
Lattice="5.5916 0.0000 0.0000 0.0000 5.5916 0.0000 0.0000 0.0000 5.5916" Properties=species:S:1:pos:R:3 pbc="T T T"
Hf 0.0000 0.0000 0.0000
In 0.0000 0.0000 2.7958
In 2.7958 0.0000 0.0000
In 0.0000 2.7958 0.0000
Cu 2.7958 2.7958 2.7958
```

## Properties
N(E_F) in states/eV per atom: 1.02
Space-group type: Pm-3m
Volume in Å³/atom: 35.0

---

Version two
The following is a DFT calculation (PBE-GGA) of a geometry-optimized HfIn3Cu structure.

Cell and atoms, written as extended XYZ:
```
5
Lattice="-0.8141 4.7956 0.8900 -3.8473 -1.1860 2.8712 2.9980 -0.2198 3.9264" Properties=species:S:1:pos:R:3 pbc="T T T"
Hf -0.8317 1.6949 3.8438
In -0.4070 2.3978 0.4450
In 1.4990 -0.1099 1.9632
In -1.9237 -0.5930 1.4356
Cu 0.0000 0.0000 0.0000
```

## Properties
N(E_F) in states/eV per atom: 0.55
Space-group type: Pm-3m
Volume in Å³/atom: 24.2

---

version two (48.5 kJ/mol of atoms below the next structure)

---

Version one
The following is a DFT calculation (PBE-GGA) of a geometry-optimized HfIn2CuSb structure.

Cell and atoms, written as extended XYZ:
```
5
Lattice="4.8771 0.0000 0.0000 0.0000 5.2479 0.0000 0.0000 0.0000 4.8771" Properties=species:S:1:pos:R:3 pbc="T T T"
In 2.4385 0.0000 0.0000
In 0.0000 0.0000 2.4385
Sb 0.0000 2.6239 0.0000
Cu 0.0000 0.0000 0.0000
Hf 2.4385 2.6239 2.4385
```

## Properties
N(E_F) in states/eV per atom: 0.78
Space-group type: P4/mmm
Volume in Å³/atom: 25.0

---

Version two
The following is a DFT calculation (PBE-GGA) of a geometry-optimized HfIn2CuSb structure.

Cell and atoms, written as extended XYZ:
```
5
Lattice="-5.0441 2.3170 0.5921 -1.9060 -3.3796 -3.0120 -1.0134 -3.3228 4.3696" Properties=species:S:1:pos:R:3 pbc="T T T"
Hf 0.0000 0.0000 0.0000
Sb -3.9818 -2.1927 0.9749
In -0.5067 -1.6614 2.1848
In -2.5220 1.1585 0.2961
Cu -0.9530 -1.6898 -1.5060
```

## Properties
N(E_F) in states/eV per atom: 0.64
Space-group type: P4/mmm
Volume in Å³/atom: 30.6

---

version one (33.3 kJ/mol of atoms below the next structure)

---

Version one
The following is a DFT calculation (PBE-GGA) of a geometry-optimized HfCuIr3 structure.

Cell and atoms, written as extended XYZ:
```
5
Lattice="-0.0714 -3.8849 2.8331 1.0205 -2.7811 -3.7878 4.6986 0.5450 0.8658" Properties=species:S:1:pos:R:3 pbc="T T T"
Ir -0.0357 -1.9424 1.4165
Ir 2.3493 0.2725 0.4329
Ir 0.5103 -1.3905 -1.8939
Hf 0.0000 0.0000 0.0000
Cu 2.8239 -3.0604 -0.0445
```

## Properties
N(E_F) in states/eV per atom: 1.45
Space-group type: Pm-3m
Volume in Å³/atom: 22.2

---

Version two
The following is a DFT calculation (PBE-GGA) of a geometry-optimized HfCuIr3 structure.

Cell and atoms, written as extended XYZ:
```
5
Lattice="-3.9696 1.4730 1.3669 0.7679 -1.6849 4.0456 1.8570 3.8454 1.2490" Properties=species:S:1:pos:R:3 pbc="T T T"
Cu 0.0000 0.0000 0.0000
Ir -1.9848 0.7365 0.6834
Ir 0.3839 -0.8424 2.0228
Ir 0.9285 1.9227 0.6245
Hf -0.6724 1.8168 3.3308
```

## Properties
N(E_F) in states/eV per atom: 1.09
Space-group type: Pm-3m
Volume in Å³/atom: 17.6

---

version two (87.7 kJ/mol of atoms below the next structure)

---

Version one
The following is a DFT calculation (PBE-GGA) of a geometry-optimized HfCuIrPt structure.

Cell and atoms, written as extended XYZ:
```
4
Lattice="4.4670 0.0000 0.0000 2.2335 3.8685 0.0000 2.2335 1.2895 3.6473" Properties=species:S:1:pos:R:3 pbc="T T T"
Ir 2.2335 1.2895 0.9118
Cu 4.4670 2.5790 1.8236
Pt 6.7005 3.8685 2.7355
Hf 0.0000 0.0000 0.0000
```

## Properties
N(E_F) in states/eV per atom: 0.43
Space-group type: F-43m
Volume in Å³/atom: 15.8

---

Version two
The following is a DFT calculation (PBE-GGA) of a geometry-optimized HfCuIrPt structure.

Cell and atoms, written as extended XYZ:
```
4
Lattice="3.7428 0.0000 0.0000 0.0000 3.9990 0.0000 0.0000 0.0000 4.1283" Properties=species:S:1:pos:R:3 pbc="T T T"
Hf 0.0000 0.0000 0.0000
Cu 0.0000 1.9995 2.0641
Ir 1.8714 1.9995 0.0000
Pt 1.8714 0.0000 2.0641
```

## Properties
N(E_F) in states/eV per atom: 0.17
Space-group type: Pmmm
Volume in Å³/atom: 15.4

---

version two (11.8 kJ/mol of atoms below the next structure)